VASP calculation (GGA-PBE) on a relaxed structure of Ba2MgRe.

POSCAR file:
```
Ba2MgRe
1.0
-2.9082 1.6107 1.5057
0.3640 -2.1819 3.0371
5.7542 6.6010 4.0526
Ba Mg Re
2 1 1
direct
0.0000 0.0000 0.9564
0.0000 0.0000 0.5436
0.5000 0.5000 0.2500
0.5000 0.5000 0.7500
```

## Properties
- N(E_F) (states/eV/f.u.) = 4.087
- VASP energy (eV/f.u.) = -14.46
- symmetry = No. 47